[1]
Density functional theory data (PBE-GGA) for Pu2PdPt6 after structural relaxation.

Cell lengths 6.3786, 5.5182, 5.5182 Å; angles 60.04, 90.19, 90.19 degrees
Atoms (fractional coordinates):
Pt1 0.3242 0.8284 0.3439
Pt2 0.6771 0.1715 0.1715
Pt3 0.6758 0.6561 0.1716
Pt4 0.6758 0.1716 0.6561
Pt5 0.3229 0.8285 0.8285
Pt6 0.3242 0.3439 0.8284
Pu1 0.1319 0.3333 0.3333
Pu2 0.8681 0.6667 0.6667
Pd1 0.0000 0.0000 0.0000

Summary:
V = 168.3 Å³ per cell
Crystal system = monoclinic
Space-group type = C2/m
Formation energy from the elements = -4.9 eV per formula unit
Calculated density = 17.42 g cm⁻³

---

[2]
Density functional theory data (PBE-GGA) for Ba4Na2Co after structural relaxation.

Cell lengths 5.9919, 5.9919, 10.7240 Å; angles 106.22, 106.22, 90.00 degrees
Atoms (fractional coordinates):
Na1 0.3607 0.3607 0.7213
Na2 0.6393 0.6393 0.2787
Ba1 0.8414 0.8414 0.6829
Ba2 0.5000 0.0000 0.0000
Ba3 0.1586 0.1586 0.3171
Ba4 0.0000 0.5000 0.0000
Co1 0.0000 0.0000 0.0000

Summary:
V = 353.7 Å³ per cell
Crystal system = tetragonal
Space-group type = I4/mmm
Formation energy from the elements = 1.2 eV per formula unit
Calculated density = 3.07 g cm⁻³

---

[3]
Density functional theory data (PBE-GGA) for CaPmP after structural relaxation.

Cell lengths 6.7009, 4.0811, 4.0811 Å; angles 120.00, 90.00, 90.00 degrees
Atoms (fractional coordinates):
Ca1 0.7563 0.6667 0.3333
Pm1 0.2348 0.3333 0.6667
P1 0.0089 0.0000 0.0000

Summary:
V = 96.7 Å³ per cell
Crystal system = trigonal
Space-group type = P3m1
Energy relative to the lowest polymorph listed for this composition = 0.033 eV/atom
Formation energy from the elements = -2.6 eV per formula unit
Calculated density = 3.71 g cm⁻³

---

[4]
Density functional theory data (PBE-GGA) for CrIn2Sb after structural relaxation.

Cell lengths 3.2795, 3.2795, 8.8725 Å; angles 90.00, 90.00, 90.00 degrees
Atoms (fractional coordinates):
Cr1 0.5000 0.5000 0.7461
Sb1 0.0000 0.0000 0.5552
In1 0.5000 0.5000 0.2385
In2 0.0000 0.0000 0.9602

Summary:
Formation energy (no corrections) = 0.200 eV per atom
V = 95.4 Å³ per cell
Crystal system = tetragonal
Space-group type = P4mm
Calculated density = 7.02 g cm⁻³

---

[5]
Density functional theory data (PBE-GGA) for Er2ScAg6 after structural relaxation.

Cell lengths 5.2140, 5.2186, 8.3132 Å; angles 71.71, 81.10, 60.47 degrees
Atoms (fractional coordinates):
Sc1 0.0000 0.0000 0.5000
Ag1 0.6769 0.6604 0.5000
Ag2 0.1637 0.8328 0.1724
Ag3 0.8363 0.4948 0.1724
Ag4 0.1637 0.5052 0.8276
Ag5 0.3231 0.3396 0.5000
Ag6 0.8363 0.1672 0.8276
Er1 0.5000 0.1642 0.1715
Er2 0.5000 0.8358 0.8285

Summary:
V = 186.9 Å³ per cell
Crystal system = monoclinic
Space-group type = C2/m
Formation energy from the elements = -2.2 eV per formula unit
Calculated density = 9.12 g cm⁻³

---

[6]
Density functional theory data (PBE-GGA) for SrBeCuO3 after structural relaxation.

Cell lengths 5.1859, 5.1859, 6.4094 Å; angles 69.74, 69.74, 69.48 degrees
Atoms (fractional coordinates):
O1 0.2513 0.8026 0.1976
O2 0.7487 0.1974 0.8024
O3 0.2839 0.2839 0.5953
O4 0.1974 0.7487 0.8024
O5 0.8026 0.2513 0.1976
O6 0.7161 0.7161 0.4047
Be1 0.0835 0.0835 0.7383
Be2 0.9165 0.9165 0.2617
Cu1 0.2915 0.7085 0.5000
Cu2 0.7085 0.2915 0.5000
Sr1 0.6993 0.6993 0.8451
Sr2 0.3007 0.3007 0.1549

Summary:
Formation energy (no corrections) = -1.857 eV per atom
V = 146.4 Å³ per cell
Crystal system = monoclinic
Space-group type = C2/m
Calculated density = 4.72 g cm⁻³

---

[7]
Density functional theory data (PBE-GGA) for CsNa2SiTe4 after structural relaxation.

Cell lengths 9.5549, 9.5549, 11.1050 Å; angles 126.13, 126.13, 72.69 degrees
Atoms (fractional coordinates):
Te1 0.3161 0.7622 0.5758
Te2 0.5088 0.5821 0.3191
Te3 0.2622 0.8161 0.0758
Te4 0.7378 0.1839 0.9242
Te5 0.0821 0.0088 0.8191
Te6 0.6839 0.2378 0.4242
Te7 0.9179 0.9912 0.1809
Te8 0.4912 0.4179 0.6809
Na1 0.5000 0.0000 0.0000
Na2 0.5000 0.0000 0.5000
Na3 0.5000 0.5000 0.0000
Na4 0.0000 0.0000 0.5000
Cs1 0.0000 0.5000 0.5000
Cs2 0.0000 0.5000 0.0000
Si1 0.0000 0.0000 0.0000
Si2 0.5000 0.5000 0.5000

Summary:
Formation energy (no corrections) = -0.329 eV per atom
V = 659.5 Å³ per cell
Crystal system = monoclinic
Space-group type = C2/c
Calculated density = 3.61 g cm⁻³

---

[8]
Density functional theory data (PBE-GGA) for Rb3TmBr6 after structural relaxation.

Cell lengths 9.5960, 9.5960, 9.5960 Å; angles 91.59, 91.59, 91.59 degrees
Atoms (fractional coordinates):
Br1 0.4312 0.5486 0.2222
Br2 0.4514 0.7778 0.5688
Br3 0.5688 0.4514 0.7778
Br4 0.2222 0.4312 0.5486
Br5 0.9415 0.2748 0.0750
Br6 0.0750 0.9415 0.2748
Br7 0.5486 0.2222 0.4312
Br8 0.7778 0.5688 0.4514
Br9 0.7252 0.9250 0.0585
Br10 0.9250 0.0585 0.7252
Br11 0.2748 0.0750 0.9415
Br12 0.0585 0.7252 0.9250
Rb1 0.2522 0.0741 0.5727
Rb2 0.7478 0.9259 0.4273
Rb3 0.4273 0.7478 0.9259
Rb4 0.9259 0.4273 0.7478
Rb5 0.5727 0.2522 0.0741
Rb6 0.0741 0.5727 0.2522
Tm1 0.0000 0.0000 0.0000
Tm2 0.5000 0.5000 0.5000

Summary:
Formation energy (no corrections) = -1.834 eV per atom
V = 882.6 Å³ per cell
Crystal system = trigonal
Space-group type = R-3
Calculated density = 3.40 g cm⁻³

---

- What is the formula in the sixth record?
  SrBeCuO3

---

- Which of these has the highest V?
  Rb3TmBr6

---

- What is the formula in the fourth record?
  CrIn2Sb